This record from the Alexandria database describes VAgW2S after structural relaxation. The functional is PBE.

a b c (Å): 4.6798 4.6798 4.2571
angles (deg): 90.00 90.00 90.00
Closest atoms and distances in Å follow each position.
Element x y z (fractional)
V 0.0000 0.0000 0.0000  2 S 2.13, 4 W 2.34
Ag 0.5000 0.5000 0.5000  8 W 3.16, 4 S 3.31
W 0.0000 0.5000 0.0000  2 V 2.34
W 0.5000 0.0000 0.0000  2 V 2.34
S 0.0000 0.0000 0.5000  2 V 2.13

Properties
Uncorrected formation energy   34.40 kcal/mol of atoms
Calculated volume   18.6 Å³/atom
D(E_F)   5.59 states/eV/cell
Magnetic moment   0.0000 μB/atom